Compound: Ca2ReW
Source: Alexandria
Functional: PBEsol
Structure: relaxed

Structure (POSCAR):
```
Ca2ReW
1.0
3.9027 0.0000 0.0000
0.0000 3.9027 0.0000
0.0000 0.0000 5.3155
Re W Ca
1 1 2
Direct
0.5000 0.5000 0.0000
0.5000 0.5000 0.5000
0.0000 0.0000 0.7537
0.0000 0.0000 0.2463
```

The volume is 81.0 Å³/cell. The value obtained for the calculated density is 9.234 g/cm³. The distance to the lowest polymorph of the same formula is 0.738 eV per atom. Its crystal system is tetragonal. The electronic total energy comes out at -6.5082 eV/atom. The magnetization is 0.00 μB per atom. For the energy relative to the elements, the calculation gives 1343 meV per atom.


Compound: La2ScTl2
Source: Alexandria
Functional: PBEsol
Structure: relaxed

Structure (POSCAR):
```
La2ScTl2
1.0
-2.0992 0.3513 4.2203
-6.6921 -2.8717 -3.0896
2.3345 -7.3474 1.7728
La Tl Sc
4 4 2
Direct
0.5000 0.6678 0.8322
0.5000 0.3322 0.1678
0.5000 0.8322 0.3322
0.5000 0.1678 0.6678
0.0000 0.3642 0.8642
0.0000 0.1358 0.3642
0.0000 0.6358 0.1358
0.0000 0.8642 0.6358
0.0000 0.0000 0.0000
0.0000 0.5000 0.5000
```

The volume is 295.8 Å³/cell. The value obtained for the calculated density is 8.214 g/cm³. Its crystal system is tetragonal. The electronic total energy comes out at -4.8599 eV/atom. The magnetization is 0.00 μB per atom. For the energy relative to the elements, the calculation gives -348 meV per atom.


Compound: InHgW2
Source: Alexandria
Functional: PBEsol
Structure: relaxed

Structure (POSCAR):
```
InHgW2
1.0
3.1742 0.0000 0.0000
0.0000 3.1742 0.0000
0.0000 0.0000 7.4385
Hg W In
1 2 1
Direct
0.0000 0.0000 0.4780
0.0000 0.0000 0.0330
0.5000 0.5000 0.2128
0.5000 0.5000 0.7761
```

The volume is 74.9 Å³/cell. The value obtained for the calculated density is 15.134 g/cm³. The distance to the lowest polymorph of the same formula is 0.000 eV per atom. Its crystal system is tetragonal. The electronic total energy comes out at -7.2802 eV/atom. The magnetization is 0.00 μB per atom. For the energy relative to the elements, the calculation gives 511 meV per atom.


Compound: LiCa2Ir
Source: Alexandria
Functional: PBEsol
Structure: relaxed

Structure (POSCAR):
```
LiCa2Ir
1.0
4.9286 0.0000 0.0000
2.4643 4.2683 0.0000
2.4643 1.4228 4.0242
Ir Ca Li
1 2 1
Direct
0.0000 0.0000 0.0000
0.7500 0.7500 0.7500
0.2500 0.2500 0.2500
0.5000 0.5000 0.5000
```

The volume is 84.7 Å³/cell. The value obtained for the calculated density is 5.479 g/cm³. The distance to the lowest polymorph of the same formula is 0.000 eV per atom. Its crystal system is cubic. The electronic total energy comes out at -4.2002 eV/atom. The magnetization is 0.00 μB per atom. For the energy relative to the elements, the calculation gives -186 meV per atom.


Compound: LiVOF2
Source: Alexandria
Functional: PBEsol
Structure: relaxed

Structure (POSCAR):
```
LiVOF2
1.0
5.1162 0.0000 0.0000
0.0000 8.6207 0.0567
0.0000 -0.4927 9.2778
F O V Li
16 8 8 8
Direct
0.4189 0.4862 0.6947
0.9235 0.6590 0.6944
0.2712 0.9891 0.9335
0.2357 0.3327 0.9260
0.2782 0.6700 0.4444
0.7643 0.8327 0.4260
0.7218 0.1700 0.9444
0.2796 0.3372 0.4384
0.0765 0.1590 0.1944
0.7204 0.8372 0.9384
0.5690 0.3376 0.1964
0.7288 0.4891 0.4335
0.5811 0.9862 0.1947
0.5849 0.6647 0.1787
0.4151 0.1647 0.6787
0.4310 0.8376 0.6964
0.2327 0.6691 0.9355
0.0938 0.5127 0.1998
0.7945 0.5212 0.9378
0.9062 0.0127 0.6998
0.2055 0.0212 0.4378
0.9260 0.3378 0.6795
0.7673 0.1691 0.4355
0.0740 0.8378 0.1795
0.0359 0.1468 0.5756
0.9271 0.9864 0.3084
0.6111 0.3264 0.5697
0.3889 0.8264 0.0697
0.6047 0.0121 0.8048
0.3953 0.5121 0.3048
0.0729 0.4864 0.8084
0.9641 0.6468 0.0756
0.0939 0.8356 0.7830
0.5865 0.6534 0.7993
0.9061 0.3356 0.2830
0.5702 0.3578 0.9942
0.9323 0.6643 0.4947
0.0677 0.1643 0.9947
0.4135 0.1534 0.2993
0.4298 0.8578 0.4942
```

The volume is 409.3 Å³/cell. The formation energy without anion corrections comes out at -2.637 eV per atom. The value obtained for the calculated density is 3.631 g/cm³. The distance to the lowest polymorph of the same formula is 0.040 eV per atom. Its crystal system is monoclinic. The electronic total energy comes out at -6.7783 eV/atom. The magnetization is 0.40 μB per atom.


Compound: K3NbS4
Source: Alexandria
Functional: PBEsol
Structure: relaxed

Structure (POSCAR):
```
K3NbS4
1.0
9.2055 0.0000 0.0000
0.0000 9.3818 0.0000
0.0000 0.0000 10.5520
K S Nb
12 16 4
Direct
0.4419 0.7895 0.9550
0.8656 0.9217 0.2500
0.3656 0.5783 0.2500
0.0581 0.2895 0.0450
0.9419 0.7105 0.5450
0.1344 0.0783 0.7500
0.5581 0.2105 0.0450
0.5581 0.2105 0.4550
0.0581 0.2895 0.4550
0.6344 0.4217 0.7500
0.9419 0.7105 0.9550
0.4419 0.7895 0.5450
0.5101 0.9114 0.2500
0.0101 0.5886 0.2500
0.6913 0.7459 0.7500
0.1627 0.9478 0.0714
0.3373 0.4478 0.5714
0.9899 0.4114 0.7500
0.8373 0.0522 0.9286
0.3373 0.4478 0.9286
0.6627 0.5522 0.0714
0.3087 0.2541 0.2500
0.4899 0.0886 0.7500
0.1627 0.9478 0.4286
0.6627 0.5522 0.4286
0.1913 0.7541 0.7500
0.8373 0.0522 0.5714
0.8087 0.2459 0.2500
0.7157 0.9876 0.7500
0.7843 0.4876 0.2500
0.2157 0.5124 0.7500
0.2843 0.0124 0.2500
```

The volume is 911.3 Å³/cell. The formation energy without anion corrections comes out at -1.212 eV per atom. The value obtained for the calculated density is 2.467 g/cm³. Its crystal system is orthorhombic. The electronic total energy comes out at -5.1818 eV/atom. The magnetization is 0.00 μB per atom.